No. 1
# CsBe3Mo | the Alexandria database | PBE | relaxed
# Excess energy over the best structure of this formula in the dataset: 0.00 eV per formula unit
# DOS at the Fermi energy: 6.45 states/eV per cell
data_CsBe3Mo
_cell_length_a 4.852
_cell_length_b 4.852
_cell_length_c 4.852
_cell_angle_alpha 90.00
_cell_angle_beta 90.00
_cell_angle_gamma 90.00
_space_group_name_H-M_alt 'P m -3 m'
_space_group_IT_number 221
_space_group_name_Hall '-P 4 2 3'
loop_
_atom_site_label
_atom_site_type_symbol
_atom_site_fract_x
_atom_site_fract_y
_atom_site_fract_z
_atom_site_occupancy
Cs1 Cs 0.000 0.000 0.000 1
Be1 Be 0.000 0.500 0.500 1
Mo1 Mo 0.500 0.500 0.500 1

No. 2
# CePaAsP | the Alexandria database | PBE | relaxed
# DOS at the Fermi energy: 19.80 states/eV per cell
# Energy: -7.575 eV per atom
data_CePaAsP
_cell_length_a 4.0004
_cell_length_b 4.0004
_cell_length_c 21.2326
_cell_angle_alpha 90.00
_cell_angle_beta 90.00
_cell_angle_gamma 120.00
_space_group_name_H-M_alt 'R 3 m'
_space_group_IT_number 160
_space_group_name_Hall 'R 3 -2"'
loop_
_atom_site_label
_atom_site_type_symbol
_atom_site_fract_x
_atom_site_fract_y
_atom_site_fract_z
_atom_site_occupancy
Ce1 Ce 0.0000 0.0000 0.0000 1
Pa1 Pa 0.0000 0.0000 0.1811 1
As1 As 0.0000 0.0000 0.7624 1
P1 P 0.0000 0.0000 0.5870 1

No. 3
# HoUIrRu | the Alexandria database | PBE | relaxed
# DOS at the Fermi energy: 31.67 states/eV per cell
# Energy: -8.919 eV per atom
data_HoUIrRu
_cell_length_a 6.806
_cell_length_b 6.806
_cell_length_c 6.806
_cell_angle_alpha 90.00
_cell_angle_beta 90.00
_cell_angle_gamma 90.00
_space_group_name_H-M_alt 'F -4 3 m'
_space_group_IT_number 216
_space_group_name_Hall 'F -4 2 3'
loop_
_atom_site_label
_atom_site_type_symbol
_atom_site_fract_x
_atom_site_fract_y
_atom_site_fract_z
_atom_site_occupancy
Ho1 Ho 0.000 0.000 0.000 1
U1 U 0.000 0.000 0.500 1
Ir1 Ir 0.250 0.250 0.250 1
Ru1 Ru 0.250 0.250 0.750 1

No. 4
# LiSbAu14 | the Alexandria database | PBE | relaxed
# Formation energy from raw total energies: -0.06 eV/atom
# DOS at the Fermi energy: 6.58 states/eV per cell
data_LiSbAu14
_cell_length_a 5.927
_cell_length_b 5.927
_cell_length_c 8.337
_cell_angle_alpha 90.00
_cell_angle_beta 90.00
_cell_angle_gamma 90.00
_space_group_name_H-M_alt 'P 4/m m m'
_space_group_IT_number 123
_space_group_name_Hall '-P 4 2'
loop_
_atom_site_label
_atom_site_type_symbol
_atom_site_fract_x
_atom_site_fract_y
_atom_site_fract_z
_atom_site_occupancy
Li1 Li 0.000 0.000 0.000 1
Sb1 Sb 0.500 0.500 0.000 1
Au1 Au 0.000 0.000 0.500 1
Au2 Au 0.000 0.500 0.000 1
Au3 Au 0.000 0.500 0.500 1
Au4 Au 0.245 0.245 0.251 1
Au5 Au 0.500 0.500 0.500 1

No. 5
# Y2PdSe | the Alexandria database | PBE | relaxed
# Formation energy from raw total energies: -0.94 eV/atom
# DOS at the Fermi energy: 8.88 states/eV per cell
data_Y2PdSe
_cell_length_a 7.418
_cell_length_b 7.418
_cell_length_c 7.741
_cell_angle_alpha 90.00
_cell_angle_beta 90.00
_cell_angle_gamma 90.00
_space_group_name_H-M_alt 'I -4 2 d'
_space_group_IT_number 122
_space_group_name_Hall 'I -4 2bw'
loop_
_atom_site_label
_atom_site_type_symbol
_atom_site_fract_x
_atom_site_fract_y
_atom_site_fract_z
_atom_site_occupancy
Y1 Y 0.243 0.250 0.125 1
Pd1 Pd 0.000 0.000 0.000 1
Se1 Se 0.000 0.000 0.500 1

No. 6
# Cs2PrCdCl6 | the Alexandria database | PBE | relaxed
# Formation energy from raw total energies: -1.79 eV/atom
# DOS at the Fermi energy: 6.40 states/eV per cell
data_Cs2PrCdCl6
_cell_length_a 8.056
_cell_length_b 11.387
_cell_length_c 8.053
_cell_angle_alpha 90.00
_cell_angle_beta 90.00
_cell_angle_gamma 90.00
_space_group_name_H-M_alt 'P m m n'
_space_group_IT_number 59
loop_
_space_group_symop_operation_xyz
'x,y,z'
'-x,-y,-z'
'-x+1/2,-y+1/2,z'
'x+1/2,y+1/2,-z'
'x+1/2,-y,-z'
'-x+1/2,y,z'
'-x,y+1/2,-z'
'x,-y+1/2,z'
loop_
_atom_site_label
_atom_site_type_symbol
_atom_site_fract_x
_atom_site_fract_y
_atom_site_fract_z
_atom_site_occupancy
Cs1 Cs 0.250 0.000 0.250 1
Pr1 Pr 0.250 0.250 0.748 1
Cd1 Cd 0.250 0.750 0.752 1
Cl1 Cl 0.008 0.250 0.506 1
Cl2 Cl 0.008 0.250 0.990 1
Cl3 Cl 0.250 0.008 0.748 1

No. 7
# Zr2ScHg5 | the Alexandria database | PBE | relaxed
# DOS at the Fermi energy: 10.78 states/eV per cell
# Energy: -3.293 eV per atom
data_Zr2ScHg5
_cell_length_a 4.660
_cell_length_b 4.660
_cell_length_c 16.021
_cell_angle_alpha 90.00
_cell_angle_beta 90.00
_cell_angle_gamma 90.00
_space_group_name_H-M_alt 'I 4/m m m'
_space_group_IT_number 139
_space_group_name_Hall '-I 4 2'
loop_
_atom_site_label
_atom_site_type_symbol
_atom_site_fract_x
_atom_site_fract_y
_atom_site_fract_z
_atom_site_occupancy
Zr1 Zr 0.000 0.000 0.247 1
Sc1 Sc 0.000 0.000 0.500 1
Hg1 Hg 0.000 0.000 0.000 1
Hg2 Hg 0.000 0.500 0.125 1

No. 8
# Dy2TmAu | the Alexandria database | PBE | relaxed
# Excess energy over the best structure of this formula in the dataset: 0.26 eV per formula unit
# DOS at the Fermi energy: 5.59 states/eV per cell
data_Dy2TmAu
_cell_length_a 3.602
_cell_length_b 3.602
_cell_length_c 8.426
_cell_angle_alpha 90.00
_cell_angle_beta 90.00
_cell_angle_gamma 90.00
_space_group_name_H-M_alt 'P 4/m m m'
_space_group_IT_number 123
_space_group_name_Hall '-P 4 2'
loop_
_atom_site_label
_atom_site_type_symbol
_atom_site_fract_x
_atom_site_fract_y
_atom_site_fract_z
_atom_site_occupancy
Dy1 Dy 0.000 0.000 0.210 1
Tm1 Tm 0.500 0.500 0.500 1
Au1 Au 0.500 0.500 0.000 1